TlHg2SeBr: optimized geometry, PBE.

Cell and atoms, written as POSCAR:
```
TlHg2SeBr
1.0
5.381 0.000 0.000
0.000 5.381 0.000
0.000 0.000 6.678
Tl Hg Se Br
1 2 1 1
Direct
0.000 0.000 0.000
0.000 0.500 0.500
0.500 0.000 0.500
0.000 0.000 0.500
0.500 0.500 0.000
```

Space-group type ... No. 123
E_form (uncorrected) ... -0.259 eV per atom
Total moment ... 0.000 μB/atom
Final energy ... -1.885 eV per atom



CeTa2O7: optimized geometry, PBE.

Cell and atoms, written as POSCAR:
```
CeTa2O7
1.0
3.269 -4.969 0.000
3.269 4.969 0.000
0.000 0.000 3.794
Ce Ta O
1 2 7
Direct
0.000 0.000 0.000
0.308 0.692 0.500
0.692 0.308 0.500
0.053 0.318 0.500
0.272 0.728 0.000
0.318 0.053 0.500
0.500 0.500 0.500
0.682 0.947 0.500
0.728 0.272 0.000
0.947 0.682 0.500
```

Space-group type ... No. 65
E_form (uncorrected) ... -2.833 eV per atom
Total moment ... 0.015 μB/atom
Final energy ... -9.268 eV per atom



PrGe2Bi2Pt7: optimized geometry, PBE.

Cell and atoms, written as POSCAR:
```
PrGe2Bi2Pt7
1.0
2.870 -2.869 0.000
2.870 2.869 0.000
-2.839 0.000 15.606
Pr Ge Bi Pt
1 2 2 7
Direct
0.000 0.000 0.000
0.383 0.383 0.760
0.617 0.617 0.240
0.211 0.211 0.422
0.789 0.789 0.578
0.071 0.571 0.146
0.301 0.301 0.603
0.429 0.929 0.854
0.500 0.500 0.000
0.571 0.071 0.146
0.699 0.699 0.397
0.929 0.429 0.854
```

Space-group type ... No. 12
Total moment ... 0.000 μB/atom
Final energy ... -5.844 eV per atom



CeNdInRu: optimized geometry, PBE.

Cell and atoms, written as POSCAR:
```
CeNdInRu
1.0
3.412 0.000 0.000
0.000 3.412 0.000
0.000 0.000 8.552
Ce Nd In Ru
1 1 1 1
Direct
0.000 0.000 0.000
0.000 0.000 0.412
0.500 0.500 0.707
0.500 0.500 0.191
```

Space-group type ... No. 99
Energy above the lowest structure with this stoichiometry ... 0.000 eV per atom
Total moment ... 0.084 μB/atom
Final energy ... -6.025 eV per atom



LiHg3P: optimized geometry, PBE.

Cell and atoms, written as POSCAR:
```
LiHg3P
1.0
5.178 0.000 0.000
0.000 5.178 0.000
0.000 0.000 5.178
Li Hg P
1 3 1
Direct
0.000 0.000 0.000
0.000 0.500 0.500
0.500 0.000 0.500
0.500 0.500 0.000
0.500 0.500 0.500
```

Space-group type ... No. 221
Energy above the lowest structure with this stoichiometry ... 0.000 eV per atom
Total moment ... 0.000 μB/atom
Final energy ... -1.400 eV per atom



Ce2CdGe2Rh5: optimized geometry, PBE.

Cell and atoms, written as POSCAR:
```
Ce2CdGe2Rh5
1.0
9.932 0.000 0.000
0.000 9.932 0.000
0.000 0.000 3.661
Ce Cd Ge Rh
4 2 4 10
Direct
0.177 0.323 0.000
0.323 0.823 0.000
0.677 0.177 0.000
0.823 0.677 0.000
0.000 0.000 0.000
0.500 0.500 0.000
0.122 0.622 0.000
0.378 0.122 0.000
0.622 0.878 0.000
0.878 0.378 0.000
0.000 0.500 0.500
0.070 0.785 0.500
0.215 0.070 0.500
0.285 0.570 0.500
0.430 0.285 0.500
0.500 0.000 0.500
0.570 0.715 0.500
0.715 0.430 0.500
0.785 0.930 0.500
0.930 0.215 0.500
```

Space-group type ... No. 127
Total moment ... 0.114 μB/atom
Final energy ... -6.527 eV per atom



Please write out number 4 again, unchanged.
CeNdInRu: optimized geometry, PBE.

Cell and atoms, written as POSCAR:
```
CeNdInRu
1.0
3.412 0.000 0.000
0.000 3.412 0.000
0.000 0.000 8.552
Ce Nd In Ru
1 1 1 1
Direct
0.000 0.000 0.000
0.000 0.000 0.412
0.500 0.500 0.707
0.500 0.500 0.191
```

Space-group type ... No. 99
Energy above the lowest structure with this stoichiometry ... 0.000 eV per atom
Total moment ... 0.084 μB/atom
Final energy ... -6.025 eV per atom